(1)
Here is CsFe2WCl after structural relaxation from Alexandria via LeMat-Bulk. Energies are from GGA-PBE.

a = 4.733 Å, b = 4.733 Å, c = 5.521 Å
α = 90.00°, β = 90.00°, γ = 90.00°
Element x y z (fractional)
Cs (0.000, 0.000, 0.000)
Fe (0.000, 0.500, 0.500)
Fe (0.500, 0.000, 0.500)
W (0.500, 0.500, 0.500)
Cl (0.500, 0.500, 0.000)

Computed properties:
total energy = -5.53 eV/atom
space group = P4/mmm
ΔE_f (raw) = 0.981 eV/atom


(2)
Here is Ba3Sr4Ca2 after structural relaxation from Alexandria via LeMat-Bulk. Energies are from GGA-PBE.

a = 10.414 Å, b = 10.414 Å, c = 10.801 Å
α = 109.92°, β = 109.92°, γ = 26.44°
Element x y z (fractional)
Ba (0.000, 0.000, 0.000)
Ba (0.116, 0.116, 0.683)
Ba (0.884, 0.884, 0.317)
Sr (0.218, 0.218, 0.329)
Sr (0.444, 0.444, 0.658)
Sr (0.556, 0.556, 0.342)
Sr (0.782, 0.782, 0.671)
Ca (0.326, 0.326, 0.990)
Ca (0.674, 0.674, 0.010)

Computed properties:
total energy = -1.81 eV/atom
space group = C2/m
energy above the lowest structure with this stoichiometry = 0 meV per atom